(1)
Computed, not measured: crystalline Er6AsP3S2 at its relaxed geometry at the GGA-PBE level of DFT.

Cell: 8.8561 8.8561 7.9155 Å, 103.07 103.07 25.84°
With the nearest neighbours (Å) after each atom.
Fractional positions:
Er1 0.0013 0.0013 0.2453  3 P 2.77-2.79, 2 As 2.83, 1 S 2.85
Er2 0.3314 0.3314 0.4216  3 P 2.76-2.78, 1 As 2.83, 2 S 2.84
Er3 0.3356 0.3356 0.9118  3 P 2.76, 3 S 2.81-2.82
Er4 0.6644 0.6644 0.0882  3 P 2.76, 3 S 2.81-2.82
Er5 0.6686 0.6686 0.5784  3 P 2.76-2.78, 1 As 2.83, 2 S 2.84
Er6 0.9987 0.9987 0.7547  3 P 2.77-2.79, 2 As 2.83, 1 S 2.85
As1 0.5000 0.5000 0.5000  6 Er 2.83
P1 0.1672 0.1672 0.3319  6 Er 2.76-2.79
P2 0.5000 0.5000 0.0000  6 Er 2.76-2.77
P3 0.8328 0.8328 0.6681  6 Er 2.76-2.79
S1 0.1683 0.1683 0.8362  6 Er 2.81-2.85
S2 0.8317 0.8317 0.1638  6 Er 2.81-2.85

Results
- final energy (eV/atom) = -6.4801
- E_form (uncorrected) (meV/atom) = -1770.9


(2)
Computed, not measured: crystalline TlTePb2O6 at its relaxed geometry at the GGA-PBE level of DFT.

Cell: 6.1247 6.1247 6.1247 Å, 59.55 59.55 59.55°
With the nearest neighbours (Å) after each atom.
Fractional positions:
Tl1 0.0000 0.0000 0.0000  6 O 2.33-2.56
Te1 0.4871 0.4871 0.4871  6 O 1.96-2.02
Pb1 0.2676 0.2676 0.2676  6 O 2.53-2.74
Pb2 0.7696 0.7696 0.7696  6 O 2.61-2.63
O1 0.1823 0.6802 0.3400  1 Te 2.02
O2 0.2436 0.6443 0.7750  1 Te 1.96
O3 0.3400 0.1823 0.6802  1 Te 2.02
O4 0.6443 0.7750 0.2436  1 Te 1.96
O5 0.6802 0.3400 0.1823  1 Te 2.02
O6 0.7750 0.2436 0.6443  1 Te 1.96

Results
- final energy (eV/atom) = -5.2355
- E_form (uncorrected) (meV/atom) = -968.2


(3)
Computed, not measured: crystalline LaPmSn2Rh5 at its relaxed geometry at the GGA-PBE level of DFT.

Cell: 4.3676 4.3676 9.4870 Å, 90.00 90.00 90.00°
With the nearest neighbours (Å) after each atom.
Fractional positions:
La1 0.0000 0.0000 0.0000  12 Rh 2.96-3.09
Pm1 0.0000 0.0000 0.5000  8 Sn 3.39, 8 Rh 3.51
Sn1 0.5000 0.5000 0.3518  4 Rh 2.56, 1 Sn 2.81
Sn2 0.5000 0.5000 0.6482  4 Rh 2.56, 1 Sn 2.81
Rh1 0.0000 0.5000 0.2109  2 Sn 2.56
Rh2 0.0000 0.5000 0.7891  2 Sn 2.56
Rh3 0.5000 0.0000 0.2109  2 Sn 2.56
Rh4 0.5000 0.0000 0.7891  2 Sn 2.56
Rh5 0.5000 0.5000 0.0000  8 Rh 2.96, 4 La 3.09

Results
- formation energy (eV/f.u.) = -4.38
- final energy (eV/atom) = -6.5357